This record from Alexandria via LeMat-Bulk describes an optimized crystal structure of Li3BeH. The functional is PBE.

abc: 3.8509 3.8509 3.8509
angles: 90.00 90.00 90.00
Closest atoms and distances in Å follow each position.
Element x y z (fractional)
Li 0.0000 0.0000 0.5000  2 H 1.93
Li 0.5000 0.0000 0.0000  2 H 1.93
Li 0.0000 0.5000 0.0000  2 H 1.93
Be 0.5000 0.5000 0.5000  12 Li 2.72
H 0.0000 0.0000 0.0000  6 Li 1.93

Output
Polymorph energy (0 for the lowest one)   0 meV per atom